Record 1
## ZrInAgAu (PBE)

Data for a relaxed structure of ZrInAgAu.

Results
* relative energy among the computed polymorphs: 58 meV/atom
* crystal system: cubic
* volume: 79.5 Å³/cell
* space group: No. 216

abc: 4.827 4.827 4.827
angles: 60.00 60.00 60.00
Sites, in units of the cell vectors:
Ag: 0.250 0.250 0.250
Au: 0.000 0.000 0.000
In: 0.500 0.500 0.500
Zr: 0.750 0.750 0.750

---

Record 2
## Zr2In2AgAu (PBE)

Data for a relaxed structure of Zr2In2AgAu.

Results
* raw total energy: -5.046 eV per atom
* crystal system: monoclinic
* volume: 552.1 Å³/cell
* space group: No. 6

abc: 7.975 4.603 15.273
angles: 90.00 100.01 90.00
Sites, in units of the cell vectors:
Ag: 0.000 0.000 0.000
Ag: 0.000 0.500 0.499
Ag: 0.500 0.000 0.500
Ag: 0.250 0.000 0.750
Au: 0.500 0.500 0.000
Au: 0.750 0.000 0.250
Au: 0.250 0.500 0.250
Au: 0.750 0.500 0.750
In: 0.062 0.000 0.186
In: 0.563 0.500 0.188
In: 0.813 0.000 0.439
In: 0.313 0.500 0.439
In: 0.559 0.000 0.686
In: 0.066 0.500 0.687
In: 0.309 0.000 0.936
In: 0.816 0.500 0.939
Zr: 0.685 0.000 0.063
Zr: 0.191 0.500 0.064
Zr: 0.437 0.000 0.312
Zr: 0.938 0.500 0.312
Zr: 0.187 0.000 0.562
Zr: 0.689 0.500 0.564
Zr: 0.934 0.000 0.811
Zr: 0.441 0.500 0.814